# 1
# Ca2VAuBr | the Alexandria database | PBE | relaxed
# - Energy relative to the elements, uncorrected: -0.72 eV per formula unit
# - DOS at the Fermi energy: 1.03 states/eV per atom
# - Crystal system: tetragonal
# - Total moment: 3.44 μB/f.u.
data_Ca2VAuBr
_chemical_formula_sum 'Ca2 V1 Au1 Br1'
_space_group_name_H-M_alt 'P 4/m m m'
_space_group_IT_number 123
_space_group_name_Hall '-P 4 2'
_cell_length_a 5.7880
_cell_length_b 5.7880
_cell_length_c 4.9316
_cell_angle_alpha 90.00
_cell_angle_beta 90.00
_cell_angle_gamma 90.00
loop_
_atom_site_label
_atom_site_type_symbol
_atom_site_fract_x
_atom_site_fract_y
_atom_site_fract_z
Ca1 Ca 0.0000 0.5000 0.0000
V1 V 0.0000 0.0000 0.5000
Au1 Au 0.0000 0.0000 0.0000
Br1 Br 0.5000 0.5000 0.5000



# 2
# LaYZr2 | the Alexandria database | PBE | relaxed
# - Formation energy from the elements: 174 meV per atom
# - DOS at the Fermi energy: 1.01 states/eV per atom
# - Crystal system: tetragonal
# - Total moment: 0.00 μB/f.u.
data_LaYZr2
_chemical_formula_sum 'La2 Y2 Zr4'
_space_group_name_H-M_alt 'I 4/m m m'
_space_group_IT_number 139
_space_group_name_Hall '-I 4 2'
_cell_length_a 4.7628
_cell_length_b 4.7628
_cell_length_c 9.7613
_cell_angle_alpha 90.00
_cell_angle_beta 90.00
_cell_angle_gamma 90.00
loop_
_atom_site_label
_atom_site_type_symbol
_atom_site_fract_x
_atom_site_fract_y
_atom_site_fract_z
La1 La 0.0000 0.0000 0.0000
Y1 Y 0.0000 0.0000 0.5000
Zr1 Zr 0.0000 0.5000 0.2500